4
Lattice="0.989 -3.605 -2.319 -3.202 -2.332 -1.913 -0.419 0.018 -4.379" Properties=species:S:1:pos:R:3 comment="GGA-PBE ScOs2F, optimized geometry" volume_a3_per_atom=15.0 rho_g_cm3=12.3 magnetic_moment_mub_per_fu=0.0 pbc="T T T"
Sc -1.316 -2.959 -4.305
Os -0.658 -1.480 -2.152
Os -1.974 -4.439 -6.457
F 0.000 0.000 0.000

5
Lattice="-1.330 1.999 -3.519 1.010 -3.423 -2.326 -3.919 -1.561 0.595" Properties=species:S:1:pos:R:3 comment="GGA-PBE ScOsF3, optimized geometry" volume_a3_per_atom=15.5 rho_g_cm3=6.3 magnetic_moment_mub_per_fu=0.0 pbc="T T T"
Sc -2.119 -1.492 -2.625
Os 0.000 0.000 0.000
F 0.505 -1.711 -1.163
F -1.959 -0.780 0.297
F -0.665 0.999 -1.759

4
Lattice="1.616 0.000 7.444 -0.808 1.399 7.444 -0.808 -1.399 7.444" Properties=species:S:1:pos:R:3 comment="GGA-PBE ScOsF2, optimized geometry" volume_a3_per_atom=12.6 rho_g_cm3=9.0 magnetic_moment_mub_per_fu=0.3 pbc="T T T"
Sc 0.000 0.000 11.167
Os 0.000 0.000 0.000
F 0.000 0.000 20.170
F 0.000 0.000 2.163

8
Lattice="3.487 0.000 0.000 0.000 3.487 0.000 1.743 1.743 10.756" Properties=species:S:1:pos:R:3 comment="GGA-PBE ScOs2F, optimized geometry" volume_a3_per_atom=16.3 rho_g_cm3=11.3 magnetic_moment_mub_per_fu=0.0 pbc="T T T"
Sc 0.000 0.000 0.000
Sc 3.487 1.743 5.378
Os 0.844 0.872 2.689
Os 2.643 2.615 2.689
Os 2.615 4.387 8.067
Os 4.359 2.587 8.067
F 1.743 1.743 0.000
F 1.743 3.487 5.378

Across the entries above, polymorph energy (0 for the lowest one) takes the values 1044.3 801.6 0.0 0.0 meV per atom, respectively.
Across the entries above, E_form (uncorrected) takes the values 63 -54 -124 -38 kJ per mole of atoms, respectively.